HoAlCuNi: optimized geometry, PBE.

Unit cell a=5.0661 b=5.0661 c=5.0661 alpha=49.22 beta=49.22 gamma=49.22
Last column: nearest neighbours and their distance in Å.
Positions (direct):
Ho: 0.0000 0.0000 0.0000  4 Ni 2.72-2.98, 4 Cu 2.76-2.96
Al: 0.5089 0.5089 0.5089  3 Ni 2.47, 3 Cu 2.52
Cu: 0.7931 0.7931 0.7931  3 Al 2.52, 3 Ni 2.65, 1 Ho 2.76
Ni: 0.2044 0.2044 0.2044  3 Al 2.47, 3 Cu 2.65, 1 Ho 2.72

Summary:
**Calculated volume**: 17.132 Å³ per atom
**Spin magnetization**: 0.00 μB/f.u.
**Density of states at the Fermi level**: 0.652 states/eV/atom
**Raw total energy**: -20.067 eV for the cell shown

=====

KGeP2Se8: optimized geometry, PBE.

Unit cell a=6.2928 b=6.2928 c=9.7034 alpha=90.00 beta=90.00 gamma=120.00
Last column: nearest neighbours and their distance in Å.
Positions (direct):
K: 0.0000 0.0000 0.0000  12 Se 3.66-3.77
Ge: 0.0000 0.0000 0.5000  6 Se 2.62
P: 0.3333 0.6667 0.7281  4 Se 2.18-2.26
P: 0.6667 0.3333 0.2719  4 Se 2.18-2.26
Se: 0.0114 0.6846 0.3280  1 P 2.26
Se: 0.3154 0.3268 0.3280  1 P 2.26
Se: 0.3268 0.0114 0.6720  1 P 2.26
Se: 0.3333 0.6667 0.9530  1 P 2.18
Se: 0.6667 0.3333 0.0470  1 P 2.18
Se: 0.6732 0.9886 0.3280  1 P 2.26
Se: 0.6846 0.6732 0.6720  1 P 2.26
Se: 0.9886 0.3154 0.6720  1 P 2.26

Summary:
**Calculated volume**: 27.731 Å³ per atom
**Formation energy without anion corrections**: -0.15 eV/atom
**Spin magnetization**: 0.00 μB/f.u.
**Density of states at the Fermi level**: 0.941 states/eV/atom